[1]
## TbPr2Ge3Pd4 (PBE)

Data for TbPr2Ge3Pd4 after structural relaxation.

Lattice parameters (Å, degrees): 4.3232 4.3232 11.2306 90.00 90.00 90.00
Space group P-4m2 (No. 115)
Asymmetric unit:
1 Tb 0.0000 0.0000 0.0000 [1 per cell]
2 Pr 0.0000 0.5000 0.7213 [2 per cell]
3 Ge 0.0000 0.5000 0.3787 [2 per cell]
4 Ge 0.5000 0.5000 0.0000 [1 per cell]
5 Pd 0.0000 0.0000 0.5000 [1 per cell]
6 Pd 0.0000 0.5000 0.1572 [2 per cell]
7 Pd 0.5000 0.5000 0.5000 [1 per cell]

Properties
- DFT total energy (eV/atom) = -5.7211
- magnetic moment (μB/cell) = 0.0
- E_form (eV per atom) = -0.840
- calculated volume (Å³/cell) = 210

---

[2]
## RbDyBeF6 (PBE)

Data for RbDyBeF6 after structural relaxation.

Lattice parameters (Å, degrees): 6.5545 5.8803 7.3491 90.00 114.05 90.00
Space group P2_1/m (No. 11)
Asymmetric unit:
1 Rb 0.0862 0.2500 0.2142 [2 per cell]
2 Dy 0.3958 0.2500 0.8228 [2 per cell]
3 Be 0.2311 0.7500 0.4641 [2 per cell]
4 F 0.0022 0.2500 0.7187 [2 per cell]
5 F 0.2510 0.5342 0.5949 [4 per cell]
6 F 0.3204 0.5014 0.0242 [4 per cell]
7 F 0.4161 0.7500 0.3836 [2 per cell]

Properties
- DFT total energy (eV/atom) = -5.9008
- magnetic moment (μB/cell) = 0.0
- calculated volume (Å³/cell) = 259

---

[3]
## Ca2SmAgTe4 (PBE)

Data for Ca2SmAgTe4 after structural relaxation.

Lattice parameters (Å, degrees): 7.7475 4.4809 7.7516 90.00 109.98 90.00
Space group P2/m (No. 10)
Asymmetric unit:
1 Ca 0.0000 0.0000 0.0000 [1 per cell]
2 Ca 0.0000 0.5000 0.5000 [1 per cell]
3 Sm 0.5000 0.0000 0.5000 [1 per cell]
4 Ag 0.5000 0.5000 0.0000 [1 per cell]
5 Te 0.2512 0.5000 0.2531 [2 per cell]
6 Te 0.2626 0.0000 0.7578 [2 per cell]

Properties
- DFT total energy (eV/atom) = -4.2399
- magnetic moment (μB/cell) = 0.0
- calculated volume (Å³/cell) = 253

---

[4]
## PmZr5 (PBE)

Data for PmZr5 after structural relaxation.

Lattice parameters (Å, degrees): 4.6024 13.8631 4.6119 90.00 90.00 90.00
Space group Cmmm (No. 65)
Asymmetric unit:
1 Pm 0.0000 0.0000 0.0000 [2 per cell]
2 Zr 0.0000 0.1714 0.5000 [4 per cell]
3 Zr 0.0000 0.3294 0.0000 [4 per cell]
4 Zr 0.0000 0.5000 0.5000 [2 per cell]

Properties
- DFT total energy (eV/atom) = -7.7959
- magnetic moment (μB/cell) = 0.0
- E_form (eV per atom) = 0.119
- calculated volume (Å³/cell) = 294